Entry from Alexandria: an optimized crystal structure of MnPOs (PBE-GGA).

Summary:
Final energy ... -8.480 eV/atom
Total magnetic moment ... 0.35 μB per cell
Fermi-level density of states ... 0.90 states/eV/atom
ΔE_f ... 0.123 eV/atom

Lattice parameters (Å, degrees): 4.2694 4.2694 4.2694 141.65 127.74 66.66
Positions (direct):
P1 0.3302 0.3302 0.0000
Os1 0.6596 0.6596 0.0000
Mn1 0.0102 0.0102 0.0000

Entry from Alexandria: an optimized crystal structure of Tb4HoIn4 (PBE-GGA).

Summary:
Final energy ... -3.900 eV/atom
Total magnetic moment ... 0.00 μB per cell
Fermi-level density of states ... 0.64 states/eV/atom
ΔE_f ... -0.116 eV/atom

Lattice parameters (Å, degrees): 7.1596 7.1596 10.6868 90.00 90.00 90.00
Positions (direct):
In1 0.2737 0.0000 0.2801
In2 0.5000 0.2263 0.7801
Tb1 0.2256 0.5000 0.9201
Ho1 0.5000 0.5000 0.5000
In3 0.0000 0.7263 0.7199
Tb2 0.7744 0.5000 0.9201
Tb3 0.5000 0.7744 0.0799
In4 0.0000 0.2737 0.7199
In5 0.7263 0.0000 0.2801
Tb4 0.0000 0.2744 0.4201
Tb5 0.0000 0.7256 0.4201
In6 0.5000 0.7737 0.7801
Ho2 0.0000 0.0000 0.0000
In7 0.7737 0.5000 0.2199
Tb6 0.5000 0.2256 0.0799
Tb7 0.7256 0.0000 0.5799
In8 0.2263 0.5000 0.2199
Tb8 0.2744 0.0000 0.5799

Entry from Alexandria: an optimized crystal structure of AcPm2Sm5Er (PBE-GGA).

Summary:
Final energy ... -4.379 eV/atom
Total magnetic moment ... 0.00 μB per cell
Fermi-level density of states ... 1.17 states/eV/atom
ΔE_f ... 0.262 eV/atom

Lattice parameters (Å, degrees): 8.9637 8.9637 10.1080 116.32 116.32 90.00
Positions (direct):
Pm1 0.8836 0.6164 0.0000
Ac1 0.7500 0.7500 0.5000
Sm1 0.0722 0.5722 0.7342
Sm2 0.6620 0.1620 0.7342
Sm3 0.5000 0.5000 0.0000
Sm4 0.5722 0.6620 0.7342
Pm2 0.6164 0.1164 0.0000
Er1 0.7500 0.2500 0.5000
Sm5 0.0000 0.0000 0.0000
Pm3 0.1164 0.3836 0.0000
Sm6 0.1620 0.0722 0.7342
Sm7 0.3380 0.8380 0.2658
Sm8 0.9278 0.4278 0.2658
Ac2 0.2500 0.2500 0.5000
Er2 0.2500 0.7500 0.5000
Pm4 0.3836 0.8836 0.0000
Sm9 0.8380 0.9278 0.2658
Sm10 0.4278 0.3380 0.2658

Entry from Alexandria: an optimized crystal structure of CeTlTeO5 (PBE-GGA).

Summary:
E_form (uncorrected) ... -1.718 eV per atom
Final energy ... -6.247 eV/atom
Total magnetic moment ... 1.91 μB per cell
Fermi-level density of states ... 0.24 states/eV/atom

Lattice parameters (Å, degrees): 6.6075 6.6075 8.2389 104.59 104.59 106.46
Positions (direct):
O1 0.9408 0.0592 0.7500
Tl1 0.6865 0.3135 0.7500
Ce1 0.0000 0.0000 0.5000
Tl2 0.3135 0.6865 0.2500
O2 0.7016 0.1189 0.3890
O3 0.3802 0.2277 0.0945
Te1 0.6844 0.3156 0.2500
O4 0.1189 0.7016 0.8890
O5 0.2277 0.3802 0.5945
O6 0.0592 0.9408 0.2500
O7 0.7723 0.6198 0.4055
Ce2 0.0000 0.0000 0.0000
O8 0.6198 0.7723 0.9055
Te2 0.3156 0.6844 0.7500
O9 0.8811 0.2984 0.1110
O10 0.2984 0.8811 0.6110